Below is crystalline CaCdOs2 at its relaxed geometry, with properties calculated at the PBE level.

Cell lengths 9.9952, 9.9952, 9.9952 Å; angles 16.87, 16.87, 16.87 degrees
Sites, in units of the cell vectors:
Ca: 0.0000 0.0000 0.0000
Cd: 0.7657 0.7657 0.7657
Os: 0.2493 0.2493 0.2493
Os: 0.5157 0.5157 0.5157

Computed properties:
Total DFT energy (no corrections): -5.780 eV per atom

=====

Below is crystalline Ac6TlCd3 at its relaxed geometry, with properties calculated at the PBE level.

Cell lengths 10.2805, 5.7730, 12.7561 Å; angles 90.00, 106.95, 90.00 degrees
Sites, in units of the cell vectors:
Ac: 0.0298 0.2500 0.4083
Ac: 0.1508 0.7500 0.1799
Ac: 0.2364 0.2500 0.9951
Ac: 0.3407 0.7500 0.8159
Ac: 0.3754 0.2500 0.3419
Ac: 0.3936 0.2500 0.6231
Ac: 0.6064 0.7500 0.3769
Ac: 0.6246 0.7500 0.6581
Ac: 0.6593 0.2500 0.1841
Ac: 0.7636 0.7500 0.0049
Ac: 0.8492 0.2500 0.8201
Ac: 0.9702 0.7500 0.5917
Tl: 0.4494 0.7500 0.1019
Tl: 0.5506 0.2500 0.8981
Cd: 0.0326 0.7500 0.8802
Cd: 0.1168 0.2500 0.7139
Cd: 0.2729 0.7500 0.4725
Cd: 0.7271 0.2500 0.5275
Cd: 0.8832 0.7500 0.2861
Cd: 0.9674 0.2500 0.1198

Computed properties:
Total DFT energy (no corrections): -3.178 eV per atom

=====

Below is crystalline LiPa3As2O6 at its relaxed geometry, with properties calculated at the PBE level.

Cell lengths 7.1216, 7.1216, 6.1050 Å; angles 106.40, 106.40, 64.07 degrees
Sites, in units of the cell vectors:
Li: 0.0000 0.0000 0.0000
Pa: 0.0000 0.5000 0.0000
Pa: 0.5000 0.0000 0.0000
Pa: 0.5000 0.5000 0.5000
As: 0.3006 0.3006 0.6712
As: 0.6994 0.6994 0.3288
O: 0.1739 0.1739 0.0651
O: 0.2218 0.6092 0.2433
O: 0.3908 0.7782 0.7567
O: 0.6092 0.2218 0.2433
O: 0.7782 0.3908 0.7567
O: 0.8261 0.8261 0.9349

Computed properties:
Formation energy without anion corrections: -29.445 eV/f.u.

=====

The records above give, respectively, size of the total moment values of 0.0; 0.0; 2.0 μB per cell.